# AcCeGa2Rh2

Crystalline AcCeGa2Rh2 at its relaxed geometry (PBE, Alexandria).

POSCAR file:
```
AcCeGa2Rh2
1.0
4.4846 0.0000 0.0000
-2.2423 3.8838 0.0000
0.0000 0.0000 7.6159
Ac Ce Ga Rh
1 1 2 2
direct
0.0000 0.0000 0.0000
0.0000 0.0000 0.5000
0.3333 0.6667 0.2810
0.6667 0.3333 0.7190
0.3333 0.6667 0.7048
0.6667 0.3333 0.2952
```

* symmetry: P-3m1
* M_tot: 0.0 Bohr magnetons per cell
* energy relative to the elements: -761.9 meV/atom
* electronic total energy: -35.4 eV for the cell shown